DFT (GGA-PBE) results for crystalline Sc3Tl4SnTe8 at its relaxed geometry.

Lattice parameters (Å, degrees): 9.400 9.400 9.400 55.12 55.12 55.12
Fractional positions:
Sc1 0.000 0.500 0.500
Sc2 0.500 0.000 0.500
Sc3 0.500 0.500 0.000
Tl1 0.000 0.000 0.500
Tl2 0.000 0.500 0.000
Tl3 0.500 0.000 0.000
Tl4 0.500 0.500 0.500
Sn1 0.000 0.000 0.000
Te1 0.241 0.241 0.723
Te2 0.241 0.723 0.241
Te3 0.265 0.265 0.265
Te4 0.277 0.759 0.759
Te5 0.723 0.241 0.241
Te6 0.735 0.735 0.735
Te7 0.759 0.277 0.759
Te8 0.759 0.759 0.277

## Properties
* energy relative to the elements, uncorrected: -0.756 eV per atom

---

DFT (GGA-PBE) results for crystalline ScTl2SnTe4 at its relaxed geometry.

Lattice parameters (Å, degrees): 7.728 4.304 8.325 90.00 107.40 90.00
Fractional positions:
Sc1 0.000 0.000 0.000
Tl1 0.000 0.500 0.500
Tl2 0.500 0.000 0.500
Sn1 0.500 0.500 0.000
Te1 0.224 0.500 0.206
Te2 0.247 0.000 0.788
Te3 0.753 0.000 0.212
Te4 0.776 0.500 0.794

## Properties
* energy relative to the elements, uncorrected: -0.590 eV per atom

---

DFT (GGA-PBE) results for crystalline Y2ScSnTe at its relaxed geometry.

Lattice parameters (Å, degrees): 5.712 5.712 5.794 90.00 90.00 90.00
Fractional positions:
Y1 0.000 0.500 0.000
Y2 0.500 0.000 0.000
Sc1 0.000 0.000 0.500
Sn1 0.500 0.500 0.000
Te1 0.500 0.500 0.500

## Properties
* energy relative to the elements, uncorrected: 0.405 eV per atom

---

DFT (GGA-PBE) results for crystalline ThSc5Sn4 at its relaxed geometry.

Lattice parameters (Å, degrees): 8.836 9.640 6.403 90.00 90.00 90.00
Fractional positions:
Th1 0.250 0.250 0.002
Th2 0.750 0.750 0.998
Sc1 0.013 0.501 0.254
Sc2 0.013 0.999 0.254
Sc3 0.250 0.750 0.531
Sc4 0.487 0.501 0.254
Sc5 0.487 0.999 0.254
Sc6 0.513 0.001 0.746
Sc7 0.513 0.499 0.746
Sc8 0.750 0.250 0.469
Sc9 0.987 0.001 0.746
Sc10 0.987 0.499 0.746
Sn1 0.084 0.250 0.504
Sn2 0.250 0.599 0.979
Sn3 0.250 0.901 0.979
Sn4 0.416 0.250 0.504
Sn5 0.584 0.750 0.496
Sn6 0.750 0.099 0.021
Sn7 0.750 0.401 0.021
Sn8 0.916 0.750 0.496

## Properties
* formation enthalpy at 0 K: -24 kJ per mole of atoms

---

DFT (GGA-PBE) results for crystalline Th3Sc2Sn3 at its relaxed geometry.

Lattice parameters (Å, degrees): 9.085 9.085 6.196 90.00 90.00 120.00
Fractional positions:
Th1 0.000 0.242 0.250
Th2 0.000 0.758 0.750
Th3 0.242 0.000 0.250
Th4 0.242 0.242 0.750
Th5 0.758 0.000 0.750
Th6 0.758 0.758 0.250
Sc1 0.333 0.667 0.000
Sc2 0.333 0.667 0.500
Sc3 0.667 0.333 0.000
Sc4 0.667 0.333 0.500
Sn1 0.000 0.405 0.750
Sn2 0.000 0.595 0.250
Sn3 0.405 0.000 0.750
Sn4 0.405 0.405 0.250
Sn5 0.595 0.000 0.250
Sn6 0.595 0.595 0.750

## Properties
* formation enthalpy at 0 K: -53 kJ per mole of atoms

---

DFT (GGA-PBE) results for crystalline Th2Sc5Sn4 at its relaxed geometry.

Lattice parameters (Å, degrees): 10.327 9.289 6.409 79.98 62.35 37.67
Fractional positions:
Th1 0.106 0.106 0.894
Th2 0.894 0.894 0.106
Sc1 0.000 0.000 0.500
Sc2 0.250 0.250 0.250
Sc3 0.500 0.500 0.000
Sc4 0.500 0.500 0.500
Sc5 0.750 0.750 0.750
Sn1 0.220 0.515 0.485
Sn2 0.485 0.780 0.220
Sn3 0.515 0.220 0.780
Sn4 0.780 0.485 0.515

## Properties
* formation enthalpy at 0 K: -30 kJ per mole of atoms

---

DFT (GGA-PBE) results for crystalline Th5ScSn4 at its relaxed geometry.

Lattice parameters (Å, degrees): 9.118 9.118 8.213 108.26 108.26 29.02
Fractional positions:
Th1 0.000 0.000 0.000
Th2 0.323 0.323 0.427
Th3 0.332 0.332 0.893
Th4 0.668 0.668 0.107
Th5 0.677 0.677 0.573
Sc1 0.000 0.000 0.500
Sn1 0.145 0.145 0.819
Sn2 0.495 0.495 0.730
Sn3 0.505 0.505 0.270
Sn4 0.855 0.855 0.181

## Properties
* formation enthalpy at 0 K: -19 kJ per mole of atoms

---

DFT (GGA-PBE) results for crystalline Th3ScSn5 at its relaxed geometry.

Lattice parameters (Å, degrees): 9.494 9.494 6.335 90.00 90.00 120.00
Fractional positions:
Th1 0.000 0.385 0.250
Th2 0.000 0.615 0.750
Th3 0.385 0.000 0.250
Th4 0.385 0.385 0.750
Th5 0.615 0.000 0.750
Th6 0.615 0.615 0.250
Sc1 0.000 0.000 0.000
Sc2 0.000 0.000 0.500
Sn1 0.000 0.267 0.750
Sn2 0.000 0.733 0.250
Sn3 0.267 0.000 0.750
Sn4 0.267 0.267 0.250
Sn5 0.333 0.667 0.000
Sn6 0.333 0.667 0.500
Sn7 0.667 0.333 0.000
Sn8 0.667 0.333 0.500
Sn9 0.733 0.000 0.250
Sn10 0.733 0.733 0.750

## Properties
* formation enthalpy at 0 K: -59 kJ per mole of atoms

---

DFT (GGA-PBE) results for crystalline Th2ScSn3 at its relaxed geometry.

Lattice parameters (Å, degrees): 4.565 6.308 12.754 90.00 90.00 90.00
Fractional positions:
Th1 0.000 0.000 0.173
Th2 0.000 0.000 0.827
Th3 0.500 0.500 0.327
Th4 0.500 0.500 0.673
Sc1 0.000 0.000 0.500
Sc2 0.500 0.500 0.000
Sn1 0.000 0.500 0.151
Sn2 0.000 0.500 0.500
Sn3 0.000 0.500 0.849
Sn4 0.500 0.000 0.000
Sn5 0.500 0.000 0.349
Sn6 0.500 0.000 0.651

## Properties
* formation enthalpy at 0 K: -41 kJ per mole of atoms

---

DFT (GGA-PBE) results for crystalline Th2ScSn9 at its relaxed geometry.

Lattice parameters (Å, degrees): 4.737 4.737 13.980 90.00 90.00 90.00
Fractional positions:
Th1 0.000 0.000 0.168
Th2 0.000 0.000 0.832
Sc1 0.000 0.000 0.500
Sn1 0.000 0.500 0.000
Sn2 0.000 0.500 0.343
Sn3 0.000 0.500 0.657
Sn4 0.500 0.000 0.000
Sn5 0.500 0.000 0.343
Sn6 0.500 0.000 0.657
Sn7 0.500 0.500 0.172
Sn8 0.500 0.500 0.500
Sn9 0.500 0.500 0.828

## Properties
* formation enthalpy at 0 K: -37 kJ per mole of atoms

---

DFT (GGA-PBE) results for crystalline Th2Sc3Sn4 at its relaxed geometry.

Lattice parameters (Å, degrees): 8.010 7.989 7.872 90.00 110.77 90.00
Fractional positions:
Th1 0.191 0.176 0.058
Th2 0.191 0.324 0.558
Th3 0.809 0.676 0.442
Th4 0.809 0.824 0.942
Sc1 0.247 0.658 0.243
Sc2 0.247 0.842 0.743
Sc3 0.500 0.000 0.500
Sc4 0.500 0.500 0.000
Sc5 0.753 0.158 0.257
Sc6 0.753 0.342 0.757
Sn1 0.088 0.547 0.844
Sn2 0.088 0.953 0.344
Sn3 0.498 0.637 0.637
Sn4 0.498 0.863 0.137
Sn5 0.502 0.137 0.863
Sn6 0.502 0.363 0.363
Sn7 0.912 0.047 0.656
Sn8 0.912 0.453 0.156

## Properties
* formation enthalpy at 0 K: -66 kJ per mole of atoms

---

DFT (GGA-PBE) results for crystalline Th2Sc3Sn2 at its relaxed geometry.

Lattice parameters (Å, degrees): 11.903 4.227 8.370 90.00 113.85 90.00
Fractional positions:
Th1 0.139 0.000 0.301
Th2 0.361 0.500 0.699
Th3 0.639 0.500 0.301
Th4 0.861 0.000 0.699
Sc1 0.000 0.500 0.500
Sc2 0.116 0.500 0.945
Sc3 0.384 0.000 0.055
Sc4 0.500 0.000 0.500
Sc5 0.616 0.000 0.945
Sc6 0.884 0.500 0.055
Sn1 0.158 0.000 0.724
Sn2 0.342 0.500 0.276
Sn3 0.658 0.500 0.724
Sn4 0.842 0.000 0.276

## Properties
* formation enthalpy at 0 K: -38 kJ per mole of atoms

---

DFT (GGA-PBE) results for crystalline Th2ScSn at its relaxed geometry.

Lattice parameters (Å, degrees): 4.731 4.731 4.937 90.00 90.00 90.00
Fractional positions:
Th1 0.000 0.500 0.000
Th2 0.500 0.000 0.000
Sc1 0.000 0.000 0.500
Sn1 0.500 0.500 0.500

## Properties
* formation enthalpy at 0 K: -33 kJ per mole of atoms

---

DFT (GGA-PBE) results for crystalline Th2ScSn at its relaxed geometry.

Lattice parameters (Å, degrees): 3.436 3.436 36.042 90.00 90.00 120.00
Fractional positions:
Th1 0.000 0.000 0.090
Th2 0.000 0.000 0.910
Th3 0.333 0.667 0.577
Th4 0.333 0.667 0.756
Th5 0.667 0.333 0.244
Th6 0.667 0.333 0.423
Sc1 0.000 0.000 0.500
Sc2 0.333 0.667 0.167
Sc3 0.667 0.333 0.833
Sn1 0.000 0.000 0.000
Sn2 0.333 0.667 0.667
Sn3 0.667 0.333 0.333

## Properties
* formation enthalpy at 0 K: 15 kJ per mole of atoms

---

DFT (GGA-PBE) results for crystalline Th3Sc2Sn4 at its relaxed geometry.

Lattice parameters (Å, degrees): 6.428 6.428 9.448 117.74 117.74 47.19
Fractional positions:
Th1 0.000 0.000 0.000
Th2 0.343 0.343 0.315
Th3 0.657 0.657 0.685
Sc1 0.370 0.370 0.698
Sc2 0.630 0.630 0.302
Sn1 0.082 0.082 0.406
Sn2 0.308 0.308 0.957
Sn3 0.692 0.692 0.043
Sn4 0.918 0.918 0.594

## Properties
* formation enthalpy at 0 K: -47 kJ per mole of atoms

---

DFT (GGA-PBE) results for crystalline ThScTlSn at its relaxed geometry.

Lattice parameters (Å, degrees): 7.535 7.535 7.535 90.00 90.00 90.00
Fractional positions:
Th1 0.000 0.000 0.000
Th2 0.000 0.500 0.500
Th3 0.500 0.000 0.500
Th4 0.500 0.500 0.000
Sc1 0.000 0.000 0.500
Sc2 0.000 0.500 0.000
Sc3 0.500 0.000 0.000
Sc4 0.500 0.500 0.500
Tl1 0.250 0.250 0.250
Tl2 0.250 0.750 0.750
Tl3 0.750 0.250 0.750
Tl4 0.750 0.750 0.250
Sn1 0.250 0.250 0.750
Sn2 0.250 0.750 0.250
Sn3 0.750 0.250 0.250
Sn4 0.750 0.750 0.750

## Properties
* formation enthalpy at 0 K: -26 kJ per mole of atoms

---

DFT (GGA-PBE) results for crystalline TmThScSn at its relaxed geometry.

Lattice parameters (Å, degrees): 7.477 7.477 7.477 90.00 90.00 90.00
Fractional positions:
Tm1 0.000 0.000 0.000
Tm2 0.000 0.500 0.500
Tm3 0.500 0.000 0.500
Tm4 0.500 0.500 0.000
Th1 0.250 0.250 0.750
Th2 0.250 0.750 0.250
Th3 0.750 0.250 0.250
Th4 0.750 0.750 0.750
Sc1 0.000 0.000 0.500
Sc2 0.000 0.500 0.000
Sc3 0.500 0.000 0.000
Sc4 0.500 0.500 0.500
Sn1 0.250 0.250 0.250
Sn2 0.250 0.750 0.750
Sn3 0.750 0.250 0.750
Sn4 0.750 0.750 0.250

## Properties
* formation enthalpy at 0 K: -17 kJ per mole of atoms

---

DFT (GGA-PBE) results for crystalline ThSc2Zn2Sn2 at its relaxed geometry.

Lattice parameters (Å, degrees): 8.788 8.788 8.788 31.26 31.26 31.26
Fractional positions:
Th1 0.000 0.000 0.000
Sc1 0.134 0.134 0.134
Sc2 0.866 0.866 0.866
Zn1 0.442 0.442 0.442
Zn2 0.558 0.558 0.558
Sn1 0.260 0.260 0.260
Sn2 0.740 0.740 0.740

## Properties
* formation enthalpy at 0 K: -26 kJ per mole of atoms

---

DFT (GGA-PBE) results for crystalline ScTi3Sn at its relaxed geometry.

Lattice parameters (Å, degrees): 5.032 5.032 5.032 90.00 90.00 90.00
Fractional positions:
Sc1 0.000 0.000 0.000
Ti1 0.000 0.500 0.500
Ti2 0.500 0.000 0.500
Ti3 0.500 0.500 0.000
Sn1 0.500 0.500 0.500

## Properties
* formation enthalpy at 0 K: 83 kJ per mole of atoms

---

DFT (GGA-PBE) results for crystalline Sc2TiSn at its relaxed geometry.

Lattice parameters (Å, degrees): 4.468 4.468 4.280 90.00 90.00 90.00
Fractional positions:
Sc1 0.000 0.500 0.000
Sc2 0.500 0.000 0.000
Ti1 0.000 0.000 0.500
Sn1 0.500 0.500 0.500

## Properties
* formation enthalpy at 0 K: -32 kJ per mole of atoms

---

DFT (GGA-PBE) results for crystalline Sc3TiSn at its relaxed geometry.

Lattice parameters (Å, degrees): 5.302 5.302 5.302 90.00 90.00 90.00
Fractional positions:
Sc1 0.000 0.000 0.500
Sc2 0.000 0.500 0.000
Sc3 0.500 0.000 0.000
Ti1 0.500 0.500 0.500
Sn1 0.000 0.000 0.000

## Properties
* formation enthalpy at 0 K: 70 kJ per mole of atoms

---

DFT (GGA-PBE) results for crystalline Sc2TiSn2 at its relaxed geometry.

Lattice parameters (Å, degrees): 7.388 7.388 4.140 90.00 90.00 90.00
Fractional positions:
Sc1 0.168 0.332 0.000
Sc2 0.332 0.832 0.000
Sc3 0.668 0.168 0.000
Sc4 0.832 0.668 0.000
Ti1 0.000 0.000 0.500
Ti2 0.500 0.500 0.500
Sn1 0.140 0.640 0.500
Sn2 0.360 0.140 0.500
Sn3 0.640 0.860 0.500
Sn4 0.860 0.360 0.500

## Properties
* formation enthalpy at 0 K: -43 kJ per mole of atoms

---

DFT (GGA-PBE) results for crystalline Sc2TiSn4 at its relaxed geometry.

Lattice parameters (Å, degrees): 5.207 5.207 14.362 90.00 90.00 90.00
Fractional positions:
Sc1 0.000 0.000 0.109
Sc2 0.000 0.000 0.891
Sc3 0.500 0.500 0.391
Sc4 0.500 0.500 0.609
Ti1 0.000 0.000 0.500
Ti2 0.500 0.500 0.000
Sn1 0.000 0.000 0.311
Sn2 0.000 0.000 0.689
Sn3 0.000 0.500 0.000
Sn4 0.000 0.500 0.500
Sn5 0.500 0.000 0.000
Sn6 0.500 0.000 0.500
Sn7 0.500 0.500 0.189
Sn8 0.500 0.500 0.811

## Properties
* formation enthalpy at 0 K: -6 kJ per mole of atoms

---

It is found that the calculated total energy values, taken in the order of the records, are -4.356 -4.044 -4.876 -5.756 -6.420 -5.992 -6.145 -6.008 -5.952 -5.150 -6.227 -6.369 -6.638 -6.141 -6.149 -5.304 -5.728 -4.650 -5.943 -6.472 -5.454 -6.160 -5.286 eV per atom.